(1)
Below is an optimized crystal structure of BeAsSe2, with properties calculated at the GGA-PBE level.

Values from the calculation:
E above lowest polymorph   823 meV/atom
SG   No. 216
Raw formation energy   707 meV/atom
VASP energy   -3.129 eV/atom
Volume   70.5 Å³/cell
M_tot   0.0 μB/f.u.
Density of states at the Fermi level   1.95 states/eV/cell

a = 4.637 Å, b = 4.637 Å, c = 4.637 Å
α = 60.00°, β = 60.00°, γ = 60.00°
Sites, in units of the cell vectors:
As 0.500 0.500 0.500
Se 0.750 0.750 0.750
Se 0.000 0.000 0.000
Be 0.250 0.250 0.250

(2)
Below is an optimized crystal structure of Tm2GaNi, with properties calculated at the GGA-PBE level.

Values from the calculation:
SG   No. 123
VASP energy   -4.961 eV/atom
Volume   81.0 Å³/cell
M_tot   0.0 μB/f.u.
ΔE_f   -0.52 eV/atom
Density of states at the Fermi level   2.81 states/eV/cell

a = 3.382 Å, b = 3.382 Å, c = 7.080 Å
α = 90.00°, β = 90.00°, γ = 90.00°
Sites, in units of the cell vectors:
Ni 0.500 0.500 0.000
Tm 0.000 0.000 0.229
Tm 0.000 0.000 0.771
Ga 0.500 0.500 0.500

(3)
Below is an optimized crystal structure of LuScZnGe, with properties calculated at the GGA-PBE level.

Values from the calculation:
SG   No. 216
VASP energy   -4.688 eV/atom
Volume   79.1 Å³/cell
M_tot   0.0 μB/f.u.
ΔE_f   -0.50 eV/atom
Density of states at the Fermi level   1.90 states/eV/cell

a = 4.819 Å, b = 4.819 Å, c = 4.819 Å
α = 60.00°, β = 60.00°, γ = 60.00°
Sites, in units of the cell vectors:
Ge 0.250 0.250 0.250
Zn 0.750 0.750 0.750
Sc 0.500 0.500 0.500
Lu 0.000 0.000 0.000

(4)
Below is an optimized crystal structure of Co2Tc, with properties calculated at the GGA-PBE level.

Values from the calculation:
E above lowest polymorph   165 meV/atom
SG   No. 189
VASP energy   -8.035 eV/atom
Volume   107.8 Å³/cell
M_tot   0.0 μB/f.u.
ΔE_f   0.16 eV/atom
Density of states at the Fermi level   13.20 states/eV/cell

a = 6.961 Å, b = 6.961 Å, c = 2.568 Å
α = 90.00°, β = 90.00°, γ = 120.00°
Sites, in units of the cell vectors:
Co 0.000 0.306 0.000
Co 0.643 0.000 0.500
Co 0.306 0.000 0.000
Co 0.000 0.643 0.500
Co 0.357 0.357 0.500
Co 0.694 0.694 0.000
Tc 0.333 0.667 0.000
Tc 0.667 0.333 0.000
Tc 0.000 0.000 0.500

- What is the density of states at the Fermi level in the fourth record?
  13.20 states/eV/cell

- Number 3 is which compound?
  LuScZnGe